16
Lattice="6.404 0.000 0.000 0.000 7.608 0.000 0.000 0.000 4.981" Properties=species:S:1:pos:R:3 comment="meta-GGA SCAN Al3Cu, PBEsol geometry" e_tot_ev_per_atom=-9.768 pbc="T T T"
Al 0.013 1.902 0.408
Al 1.131 4.149 1.743
Al 1.131 7.262 1.743
Al 2.071 0.345 4.233
Al 2.071 3.458 4.233
Al 3.189 5.706 2.899
Al 3.215 1.902 2.082
Al 4.333 4.149 0.748
Al 4.333 7.262 0.748
Al 5.273 0.345 3.238
Al 5.273 3.458 3.238
Al 6.391 5.706 4.572
Cu 0.792 1.902 2.778
Cu 2.410 5.706 0.288
Cu 3.994 1.902 4.693
Cu 5.612 5.706 2.203